# 1
8
Lattice="-2.4801 -0.9704 -2.9231 5.2582 -2.4414 -3.6508 -2.5719 -4.7621 3.7631" Properties=species:S:1:pos:R:3 comment="GGA-PBE Li2PmErS4, optimized geometry" formation_energy_uncorrected_ev_per_atom=-1.823 n_ef_per_ev_cell=0.0 pbc="T T T"
Li 1.3431 -3.6018 0.0562
Li -2.5260 -2.8662 0.4200
S -0.5284 -2.3277 -1.4537
S 3.2591 -3.0039 -1.7679
S -0.5729 -4.1996 1.8802
S 0.7345 -5.8462 -1.3571
Pm 0.0000 0.0000 0.0000
Er 1.3891 -1.7059 -3.2869


# 2
14
Lattice="8.3102 0.0000 0.0000 4.1551 7.1969 0.0000 4.1551 2.3990 6.8865" Properties=species:S:1:pos:R:3 comment="GGA-PBE LiPmEr4Se8, optimized geometry" formation_energy_uncorrected_ev_per_atom=-1.770 n_ef_per_ev_cell=0.0 pbc="T T T"
Se 6.1293 6.0570 1.8364
Se 6.1699 3.5622 5.0737
Se 8.3102 2.2797 1.8364
Se 10.4911 6.0570 1.8364
Se 4.1551 2.3990 1.8479
Se 12.4653 7.1969 4.9785
Se 8.3102 7.2694 5.0737
Se 10.4506 3.5622 5.0737
Pm 4.1551 2.3990 6.7911
Er 4.1551 4.6958 3.4780
Er 8.3102 4.7979 0.8316
Er 2.1659 1.2505 3.4780
Er 6.1443 1.2505 3.4780
Li 8.3102 4.7979 6.0349


# 3
16
Lattice="-1.3569 -8.0362 -0.5599 2.6858 0.0908 -7.8126 4.7732 2.9319 5.9461" Properties=species:S:1:pos:R:3 comment="GGA-PBE LiPm4Er3Se8, optimized geometry" formation_energy_uncorrected_ev_per_atom=-1.764 n_ef_per_ev_cell=7.8 pbc="T T T"
Er 0.6644 -3.9727 -4.1862
Er 3.7295 1.5114 -0.9333
Er 3.0510 -2.5067 -1.2132
Pm 1.7081 -2.5521 2.6931
Pm -0.6785 -4.0181 -0.2799
Pm 0.0000 0.0000 0.0000
Pm 2.3866 1.4660 2.9731
Se 2.1629 -4.5561 0.5562
Se 5.6751 -3.0516 -0.2451
Se 0.4270 -1.9619 -2.1813
Se 3.3045 -4.4839 -3.2477
Se 2.7975 -0.5296 0.8213
Se -0.2627 -6.0464 -2.4658
Se 3.9392 -0.4574 -2.9826
Se 6.3647 1.0330 0.0395
Li 1.3429 0.0454 -3.9063


# 4
12
Lattice="-0.9662 1.5214 -6.8423 4.3484 -5.2570 1.8761 -6.0926 -2.9447 1.4245" Properties=species:S:1:pos:R:3 comment="GGA-PBE Li3PmEr2Se6, optimized geometry" formation_energy_uncorrected_ev_per_atom=-1.687 n_ef_per_ev_cell=0.0 pbc="T T T"
Er 2.5766 -2.9972 -1.0305
Er 0.8057 -0.7385 -3.9356
Li -3.1208 -1.0882 -4.6673
Li -1.3552 -3.3401 -1.7708
Li 0.4105 -5.5921 1.1257
Se 0.2298 -2.8573 0.5830
Se -3.6718 -3.1550 -0.2146
Se -1.1234 -6.1401 -1.1444
Se -2.9402 -3.8230 -4.1246
Se 0.9615 -3.5253 -3.3270
Se -1.5869 -0.5402 -2.3972
Pm 0.0000 0.0000 0.0000


# 5
8
Lattice="4.0960 0.0000 0.0000 0.0000 7.0805 0.1268 0.0000 -2.4727 6.6833" Properties=species:S:1:pos:R:3 comment="GGA-PBE LiPm2ErSe4, optimized geometry" formation_energy_uncorrected_ev_per_atom=-1.753 n_ef_per_ev_cell=2.8 pbc="T T T"
Li 0.0000 0.0000 0.0000
Pm 2.0480 -1.2364 3.3417
Pm 0.0000 2.3039 3.4051
Se 2.0480 3.4704 5.2210
Se 0.0000 4.7276 1.6526
Se 2.0480 1.1373 1.5891
Se 0.0000 -0.1198 5.1575
Er 2.0480 3.5402 0.0634


# 6
12
Lattice="-6.7890 1.0026 -1.6773 4.5423 -2.3647 -4.8667 -0.6352 -5.9279 4.0016" Properties=species:S:1:pos:R:3 comment="GGA-PBE LiPm3Er2Se6, optimized geometry" formation_energy_uncorrected_ev_per_atom=-1.768 n_ef_per_ev_cell=4.9 pbc="T T T"
Pm -5.2261 -2.5202 -0.2058
Pm -1.4410 -3.6450 -1.2712
Pm 2.3442 -4.7698 -2.3366
Se -1.0472 -4.9014 1.4543
Se -4.0472 -5.0311 -1.3769
Se -1.8347 -2.3885 -3.9967
Se -2.5427 -1.1570 -0.1218
Se 1.1653 -2.2588 -1.1655
Se -0.3392 -6.1330 -2.4206
Li 0.0000 0.0000 0.0000
Er 0.7506 -1.2379 -3.7994
Er -2.9973 -0.1242 -2.7445


# 7
18
Lattice="4.1131 0.0000 0.0000 -2.0566 8.5987 0.0000 0.0000 0.0000 12.4071" Properties=species:S:1:pos:R:3 comment="GGA-PBE LiPm2ErSe5, optimized geometry" formation_energy_uncorrected_ev_per_atom=-1.745 pbc="T T T"
Pm 2.0566 6.7544 2.3005
Pm 0.0000 1.8443 8.5041
Pm 2.0566 6.4374 9.8790
Pm 0.0000 2.1613 3.6754
Se 0.0000 6.2189 12.3810
Se 0.0000 4.8984 8.1966
Se 2.0566 3.3095 10.4700
Se 0.0000 5.2892 4.2664
Se 2.0566 7.7821 7.0971
Se 2.0566 2.3798 6.1774
Se 0.0000 8.5961 3.5236
Se 2.0566 3.7002 1.9931
Se 0.0000 0.8166 0.8935
Se 2.0566 0.0026 9.7272
Li 0.0000 8.3624 5.9707
Li 2.0566 0.2363 12.1742
Er 2.0566 5.2155 6.2366
Er 0.0000 3.3832 0.0331


# 8
8
Lattice="-2.4807 2.3300 -2.3006 -3.9751 -5.7103 -1.4970 -2.3772 3.1085 5.7117" Properties=species:S:1:pos:R:3 comment="GGA-PBE Li2PmErSe4, optimized geometry" formation_energy_uncorrected_ev_per_atom=-1.681 pbc="T T T"
Li -3.1762 -1.3009 2.1073
Li -2.4290 2.7193 1.7056
Pm -3.2279 -1.6901 -1.8988
Se -3.6307 -3.5409 0.3288
Se -2.8093 0.5615 -0.0697
Se -2.7216 0.9391 3.8858
Se -6.0238 -0.8333 1.9838
Er 0.0000 0.0000 0.0000